Record 1
# Al2OsPt SCAN single point on PBEsol structure
# Final energy = -319.87 eV per cell
# Space group = C2/m
data_Al2OsPt
_symmetry_space_group_name_H-M 'P 1'
_symmetry_Int_Tables_number 1
_cell_length_a 8.303
_cell_length_b 2.855
_cell_length_c 4.915
_cell_angle_alpha 90.00
_cell_angle_beta 101.69
_cell_angle_gamma 90.00
loop_
_symmetry_equiv_pos_as_xyz
'x,y,z'
loop_
_atom_site_label
_atom_site_fract_x
_atom_site_fract_y
_atom_site_fract_z
Al1 0.248 0.000 0.241
Al2 0.252 0.500 0.759
Al3 0.748 0.500 0.241
Al4 0.752 0.000 0.759
Os1 0.000 0.500 0.000
Os2 0.500 0.000 0.000
Pt1 0.000 0.000 0.500
Pt2 0.500 0.500 0.500


Record 2
# AlZnOsPt2 SCAN single point on PBEsol structure
# Final energy = -227.62 eV per cell
# Space group = P4/mmm
data_AlZnOsPt2
_symmetry_space_group_name_H-M 'P 1'
_symmetry_Int_Tables_number 1
_cell_length_a 4.451
_cell_length_b 4.451
_cell_length_c 4.294
_cell_angle_alpha 90.00
_cell_angle_beta 90.00
_cell_angle_gamma 90.00
loop_
_symmetry_equiv_pos_as_xyz
'x,y,z'
loop_
_atom_site_label
_atom_site_fract_x
_atom_site_fract_y
_atom_site_fract_z
Al1 0.000 0.000 0.000
Zn1 0.000 0.000 0.500
Os1 0.500 0.500 0.000
Pt1 0.000 0.500 0.500
Pt2 0.500 0.000 0.500


Record 3
# AlReOs2 SCAN single point on PBEsol structure
# Final energy = -445.69 eV per cell
# Space group = I4/mmm
data_AlReOs2
_symmetry_space_group_name_H-M 'P 1'
_symmetry_Int_Tables_number 1
_cell_length_a 3.977
_cell_length_b 3.977
_cell_length_c 7.136
_cell_angle_alpha 90.00
_cell_angle_beta 90.00
_cell_angle_gamma 90.00
loop_
_symmetry_equiv_pos_as_xyz
'x,y,z'
loop_
_atom_site_label
_atom_site_fract_x
_atom_site_fract_y
_atom_site_fract_z
Al1 0.000 0.000 0.000
Al2 0.500 0.500 0.500
Re1 0.000 0.000 0.500
Re2 0.500 0.500 0.000
Os1 0.000 0.500 0.250
Os2 0.000 0.500 0.750
Os3 0.500 0.000 0.250
Os4 0.500 0.000 0.750


Record 4
# AlReOs2 SCAN single point on PBEsol structure
# Final energy = -223.77 eV per cell
# Space group = P4/mmm
data_AlReOs2
_symmetry_space_group_name_H-M 'P 1'
_symmetry_Int_Tables_number 1
_cell_length_a 2.846
_cell_length_b 2.846
_cell_length_c 6.828
_cell_angle_alpha 90.00
_cell_angle_beta 90.00
_cell_angle_gamma 90.00
loop_
_symmetry_equiv_pos_as_xyz
'x,y,z'
loop_
_atom_site_label
_atom_site_fract_x
_atom_site_fract_y
_atom_site_fract_z
Al1 0.000 0.000 0.000
Re1 0.000 0.000 0.500
Os1 0.500 0.500 0.240
Os2 0.500 0.500 0.760


Record 5
# Al2OsRh SCAN single point on PBEsol structure
# Final energy = -123.14 eV per cell
# Space group = P4mm
data_Al2OsRh
_symmetry_space_group_name_H-M 'P 1'
_symmetry_Int_Tables_number 1
_cell_length_a 3.136
_cell_length_b 3.136
_cell_length_c 5.633
_cell_angle_alpha 90.00
_cell_angle_beta 90.00
_cell_angle_gamma 90.00
loop_
_symmetry_equiv_pos_as_xyz
'x,y,z'
loop_
_atom_site_label
_atom_site_fract_x
_atom_site_fract_y
_atom_site_fract_z
Al1 0.000 0.000 0.000
Al2 0.500 0.500 0.274
Os1 0.000 0.000 0.478
Rh1 0.500 0.500 0.795


Record 6
# Al2OsRh SCAN single point on PBEsol structure
# Final energy = -246.62 eV per cell
# Space group = I-4m2
data_Al2OsRh
_symmetry_space_group_name_H-M 'P 1'
_symmetry_Int_Tables_number 1
_cell_length_a 3.617
_cell_length_b 3.617
_cell_length_c 8.398
_cell_angle_alpha 90.00
_cell_angle_beta 90.00
_cell_angle_gamma 90.00
loop_
_symmetry_equiv_pos_as_xyz
'x,y,z'
loop_
_atom_site_label
_atom_site_fract_x
_atom_site_fract_y
_atom_site_fract_z
Al1 0.000 0.000 0.000
Al2 0.000 0.500 0.250
Al3 0.500 0.000 0.750
Al4 0.500 0.500 0.500
Os1 0.000 0.000 0.500
Os2 0.500 0.500 0.000
Rh1 0.000 0.500 0.750
Rh2 0.500 0.000 0.250


Record 7
# Al2OsRh SCAN single point on PBEsol structure
# Final energy = -248.31 eV per cell
# Space group = Cm
data_Al2OsRh
_symmetry_space_group_name_H-M 'P 1'
_symmetry_Int_Tables_number 1
_cell_length_a 9.322
_cell_length_b 2.852
_cell_length_c 4.365
_cell_angle_alpha 90.00
_cell_angle_beta 109.73
_cell_angle_gamma 90.00
loop_
_symmetry_equiv_pos_as_xyz
'x,y,z'
loop_
_atom_site_label
_atom_site_fract_x
_atom_site_fract_y
_atom_site_fract_z
Al1 0.000 0.000 0.000
Al2 0.235 0.000 0.605
Al3 0.500 0.500 0.000
Al4 0.735 0.500 0.605
Os1 0.246 0.500 0.104
Os2 0.746 0.000 0.104
Rh1 0.489 0.000 0.502
Rh2 0.989 0.500 0.502


Record 8
# AlOsRh SCAN single point on PBEsol structure
# Final energy = -114.49 eV per cell
# Space group = P3m1
# Energy relative to the lowest polymorph listed for this composition = 0.0 meV/atom
data_AlOsRh
_symmetry_space_group_name_H-M 'P 1'
_symmetry_Int_Tables_number 1
_cell_length_a 2.738
_cell_length_b 2.738
_cell_length_c 6.318
_cell_angle_alpha 90.00
_cell_angle_beta 90.00
_cell_angle_gamma 120.00
loop_
_symmetry_equiv_pos_as_xyz
'x,y,z'
loop_
_atom_site_label
_atom_site_fract_x
_atom_site_fract_y
_atom_site_fract_z
Al1 0.000 0.000 0.000
Os1 0.333 0.667 0.664
Rh1 0.667 0.333 0.321